VASP calculation (PBE) on a geometry-optimized Ca2Ce structure.

Unit cell a=8.832 b=8.832 c=8.832 alpha=155.94 beta=155.94 gamma=34.29
Sites, in units of the cell vectors:
Ca 0.162 0.162 0.000
Ca 0.838 0.838 0.000
Ce 0.500 0.500 0.000

Summary:
E_form in meV per atom: 204



VASP calculation (PBE) on a geometry-optimized Al4CuOs3 structure.

Unit cell a=3.082 b=4.195 c=8.476 alpha=90.00 beta=90.00 gamma=90.00
Sites, in units of the cell vectors:
Al 0.000 0.000 0.000
Al 0.000 0.000 0.500
Al 0.000 0.500 0.241
Al 0.000 0.500 0.759
Cu 0.500 0.500 0.500
Os 0.500 0.000 0.263
Os 0.500 0.000 0.737
Os 0.500 0.500 0.000

Summary:
E_form in meV per atom: -400